# 1
The following is a DFT calculation (GGA-PBE) of an optimized crystal structure of HIrRhW2.

Values from the calculation:
symmetry: No. 123
magnetic moment: 0.00 μB/f.u.
density: 17.591 Mg/m³
energy above the lowest structure with this stoichiometry: 45 meV per atom

abc: 3.969 3.969 3.978
angles: 90.00 90.00 90.00
Sites, in units of the cell vectors:
H 0.000 0.000 0.000
Ir 0.000 0.000 0.500
Rh 0.500 0.500 0.500
W 0.000 0.500 0.000
W 0.500 0.000 0.000



# 2
The following is a DFT calculation (GGA-PBE) of an optimized crystal structure of RbGaSn2Hg.

Values from the calculation:
energy relative to the elements: -0.7 eV per formula unit
symmetry: No. 119
magnetic moment: 0.00 μB/f.u.
density: 6.418 Mg/m³

abc: 5.114 5.114 6.894
angles: 111.77 111.77 90.00
Sites, in units of the cell vectors:
Rb 0.000 0.000 0.000
Ga 0.750 0.250 0.500
Sn 0.625 0.625 0.251
Sn 0.375 0.375 0.749
Hg 0.250 0.750 0.500



# 3
The following is a DFT calculation (GGA-PBE) of an optimized crystal structure of Pm5ThSi4.

Values from the calculation:
symmetry: No. 12
magnetic moment: 0.00 μB/f.u.
E_tot: -57.30 eV per formula unit
density: 5.893 Mg/m³

abc: 4.390 7.933 9.780
angles: 114.12 102.97 90.00
Sites, in units of the cell vectors:
Pm 0.833 0.592 0.666
Pm 0.835 0.085 0.669
Pm 0.165 0.915 0.331
Pm 0.500 0.500 0.000
Pm 0.167 0.408 0.334
Th 0.500 0.000 0.000
Si 0.313 0.816 0.625
Si 0.999 0.744 0.998
Si 0.687 0.184 0.375
Si 0.001 0.256 0.002



# 4
The following is a DFT calculation (GGA-PBE) of an optimized crystal structure of HoEr2Pd.

Values from the calculation:
energy relative to the elements: -1.2 eV per formula unit
symmetry: No. 160
magnetic moment: 0.31 μB/f.u.
density: 9.050 Mg/m³
energy above the lowest structure with this stoichiometry: 179 meV per atom

abc: 3.673 3.673 9.748
angles: 79.14 79.14 60.00
Each line ends with the local moment (μB).
Sites, in units of the cell vectors:
Ho 0.501 0.501 0.497  0.17
Er 0.066 0.066 0.803  0.02
Er 0.267 0.267 0.199  0.05
Pd 0.666 0.666 0.001  0.00



# 5
The following is a DFT calculation (GGA-PBE) of an optimized crystal structure of Nd6Ho2Sc.

Values from the calculation:
energy relative to the elements: 0.3 eV per formula unit
symmetry: No. 12
magnetic moment: 0.00 μB/f.u.
density: 6.919 Mg/m³
energy above the lowest structure with this stoichiometry: 0 meV per atom

abc: 5.101 6.217 10.822
angles: 106.36 90.00 114.22
Sites, in units of the cell vectors:
Nd 0.333 0.667 0.946
Nd 0.667 0.333 0.054
Nd 0.004 0.007 0.174
Nd 0.669 0.337 0.393
Nd 0.996 0.993 0.826
Nd 0.331 0.663 0.607
Ho 0.662 0.324 0.717
Ho 0.338 0.676 0.283
Sc 0.000 0.000 0.500



# 6
The following is a DFT calculation (GGA-PBE) of an optimized crystal structure of Ca4PuHg5.

Values from the calculation:
energy relative to the elements: -4.6 eV per formula unit
symmetry: No. 123
magnetic moment: 6.00 μB/f.u.
density: 8.646 Mg/m³

abc: 3.740 3.740 19.326
angles: 90.00 90.00 90.00
Each line ends with the local moment (μB).
Sites, in units of the cell vectors:
Ca 0.000 0.000 0.202  0.00
Ca 0.000 0.000 0.400  0.00
Ca 0.000 0.000 0.600  0.00
Ca 0.000 0.000 0.798  0.00
Pu 0.000 0.000 0.000  5.53
Hg 0.500 0.500 0.102  0.02
Hg 0.500 0.500 0.301  0.00
Hg 0.500 0.500 0.500  0.01
Hg 0.500 0.500 0.699  0.00
Hg 0.500 0.500 0.898  0.02



# 7
The following is a DFT calculation (GGA-PBE) of an optimized crystal structure of MnSi2Ag.

Values from the calculation:
symmetry: No. 10
magnetic moment: 0.43 μB/f.u.
density: 6.290 Mg/m³
energy above the lowest structure with this stoichiometry: 0 meV per atom

abc: 2.671 2.934 7.377
angles: 90.14 90.00 90.00
Each line ends with the local moment (μB).
Sites, in units of the cell vectors:
Ag 0.500 0.250 0.250  0.00
Mn 0.500 0.750 0.750  0.45
Si 0.000 0.251 0.937  -0.01
Si 0.000 0.249 0.563  -0.01



# 8
The following is a DFT calculation (GGA-PBE) of an optimized crystal structure of FeRhAu.

Values from the calculation:
energy relative to the elements: 0.8 eV per formula unit
symmetry: No. 216
magnetic moment: 4.09 μB/f.u.
density: 11.610 Mg/m³
energy above the lowest structure with this stoichiometry: 244 meV per atom

abc: 4.159 4.159 4.159
angles: 60.00 60.00 60.00
Each line ends with the local moment (μB).
Sites, in units of the cell vectors:
Au 0.500 0.500 0.500  0.16
Fe 0.750 0.750 0.750  3.11
Rh 0.000 0.000 0.000  0.81



| no. | DOS at the Fermi energy (states/eV/f.u.) |
| --- | --- |
| 1 | 3.75 |
| 2 | 2.49 |
| 3 | 7.83 |
| 4 | 4.79 |
| 5 | 12.78 |
| 6 | 13.32 |
| 7 | 1.91 |
| 8 | 1.15 |